(1)
## ScTl2Mo15S19 (PBEsol)

Data for an optimized crystal structure of ScTl2Mo15S19.

Results
* mass density: 5.90 g/cm³
* total magnetic moment: 0.00 Bohr magnetons per cell
* calculated total energy: -8.155 eV per atom
* formation energy without anion corrections: -0.813 eV/atom
* SG: P2_1/m, No. 11
* calculated volume: 19.03 Å³ per atom

Cell: 9.256 9.356 18.666 Å, 90.00 90.00 119.38°
Positions (direct):
Sc  0.164  0.188  0.750
Sc  0.836  0.812  0.250
Tl  0.342  0.683  0.625
Tl  0.658  0.317  0.125
Tl  0.658  0.317  0.375
Tl  0.342  0.683  0.875
Mo  0.841  0.017  0.558
Mo  0.173  0.159  0.561
Mo  0.985  0.827  0.560
Mo  0.159  0.983  0.058
Mo  0.827  0.841  0.061
Mo  0.015  0.173  0.060
Mo  0.159  0.983  0.442
Mo  0.827  0.841  0.439
Mo  0.015  0.173  0.440
Mo  0.841  0.017  0.942
Mo  0.173  0.159  0.939
Mo  0.985  0.827  0.940
Mo  0.824  0.321  0.629
Mo  0.498  0.186  0.630
Mo  0.687  0.511  0.630
Mo  0.176  0.679  0.129
Mo  0.502  0.814  0.130
Mo  0.313  0.489  0.130
Mo  0.176  0.679  0.371
Mo  0.502  0.814  0.370
Mo  0.313  0.489  0.370
Mo  0.824  0.321  0.871
Mo  0.498  0.186  0.870
Mo  0.687  0.511  0.870
Mo  0.659  0.166  0.750
Mo  0.519  0.357  0.750
Mo  0.848  0.499  0.750
Mo  0.341  0.834  0.250
Mo  0.481  0.643  0.250
Mo  0.152  0.501  0.250
S  0.032  0.315  0.550
S  0.285  0.969  0.553
S  0.685  0.720  0.549
S  0.968  0.685  0.050
S  0.715  0.031  0.053
S  0.315  0.280  0.049
S  0.968  0.685  0.450
S  0.715  0.031  0.447
S  0.315  0.280  0.451
S  0.032  0.315  0.950
S  0.285  0.969  0.947
S  0.685  0.720  0.951
S  0.986  0.617  0.639
S  0.636  0.023  0.640
S  0.381  0.374  0.641
S  0.014  0.383  0.139
S  0.364  0.977  0.140
S  0.619  0.626  0.141
S  0.014  0.383  0.361
S  0.364  0.977  0.360
S  0.619  0.626  0.359
S  0.986  0.617  0.861
S  0.636  0.023  0.860
S  0.381  0.374  0.859
S  0.989  0.992  0.658
S  0.011  0.008  0.158
S  0.011  0.008  0.342
S  0.989  0.992  0.842
S  0.332  0.661  0.468
S  0.668  0.339  0.968
S  0.668  0.339  0.532
S  0.332  0.661  0.032
S  0.962  0.310  0.750
S  0.355  0.055  0.750
S  0.702  0.654  0.750
S  0.038  0.690  0.250
S  0.645  0.945  0.250
S  0.298  0.346  0.250

---

(2)
## MoSeS (PBEsol)

Data for an optimized crystal structure of MoSeS.

Results
* mass density: 6.07 g/cm³
* total magnetic moment: 0.00 Bohr magnetons per cell
* calculated total energy: -7.497 eV per atom
* formation energy without anion corrections: -0.830 eV/atom
* SG: P-3m1, No. 164
* calculated volume: 18.87 Å³ per atom

Cell: 3.201 3.201 25.521 Å, 90.00 90.00 120.00°
Positions (direct):
Mo  0.667  0.333  0.370
Mo  0.667  0.333  0.879
Mo  0.333  0.667  0.121
Mo  0.333  0.667  0.630
Se  0.667  0.333  0.564
Se  0.333  0.667  0.436
Se  0.333  0.667  0.304
Se  0.667  0.333  0.696
S  0.667  0.333  0.060
S  0.333  0.667  0.940
S  0.333  0.667  0.819
S  0.667  0.333  0.181

---

(3)
## Mo3Se2S4 (PBEsol)

Data for an optimized crystal structure of Mo3Se2S4.

Results
* mass density: 5.48 g/cm³
* total magnetic moment: 0.00 Bohr magnetons per cell
* calculated total energy: -7.597 eV per atom
* formation energy without anion corrections: -0.871 eV/atom
* SG: P-6m2, No. 187
* calculated volume: 19.34 Å³ per atom

Cell: 3.178 3.178 19.895 Å, 90.00 90.00 120.00°
Positions (direct):
Mo  0.000  0.000  0.321
Mo  0.000  0.000  0.679
Mo  0.667  0.333  0.000
S  0.667  0.333  0.398
S  0.667  0.333  0.757
S  0.667  0.333  0.243
S  0.667  0.333  0.602
Se  0.000  0.000  0.915
Se  0.000  0.000  0.085

---

(4)
## Mo2Se3S (PBEsol)

Data for an optimized crystal structure of Mo2Se3S.

Results
* mass density: 6.55 g/cm³
* total magnetic moment: 0.00 Bohr magnetons per cell
* calculated total energy: -7.348 eV per atom
* formation energy without anion corrections: -0.770 eV/atom
* SG: P3m1, No. 156
* calculated volume: 19.48 Å³ per atom

Cell: 3.234 3.234 25.811 Å, 90.00 90.00 120.00°
Positions (direct):
Mo  0.667  0.333  0.995
Mo  0.667  0.333  0.503
Mo  0.333  0.667  0.749
Mo  0.333  0.667  0.250
S  0.667  0.333  0.690
S  0.667  0.333  0.808
Se  0.667  0.333  0.185
Se  0.333  0.667  0.060
Se  0.333  0.667  0.568
Se  0.333  0.667  0.930
Se  0.333  0.667  0.438
Se  0.667  0.333  0.315

---

(5)
## Mo3Se2S2 (PBEsol)

Data for an optimized crystal structure of Mo3Se2S2.

Results
* mass density: 6.27 g/cm³
* total magnetic moment: 0.00 Bohr magnetons per cell
* calculated total energy: -8.059 eV per atom
* formation energy without anion corrections: -0.663 eV/atom
* SG: P1, No. 1
* calculated volume: 19.30 Å³ per atom

Cell: 6.454 6.464 6.491 Å, 91.94 91.43 92.67°
Positions (direct):
Mo  0.592  0.457  0.779
Mo  0.450  0.780  0.590
Mo  0.792  0.602  0.447
Mo  0.410  0.548  0.214
Mo  0.545  0.215  0.411
Mo  0.205  0.408  0.551
Se  0.754  0.378  0.123
Se  0.368  0.126  0.753
Se  0.797  0.803  0.788
Se  0.202  0.202  0.212
S  0.859  0.277  0.606
S  0.269  0.609  0.869
S  0.616  0.868  0.271
S  0.140  0.728  0.385

---

(6)
## MoSeS (PBEsol)

Data for an optimized crystal structure of MoSeS.

Results
* mass density: 6.09 g/cm³
* total magnetic moment: 0.00 Bohr magnetons per cell
* calculated total energy: -7.497 eV per atom
* formation energy without anion corrections: -0.830 eV/atom
* SG: P-6m2, No. 187
* calculated volume: 18.81 Å³ per atom

Cell: 3.201 3.201 12.719 Å, 90.00 90.00 120.00°
Positions (direct):
Mo  0.612  0.223  0.000
Mo  0.277  0.555  0.500
S  0.278  0.556  0.879
S  0.278  0.556  0.121
Se  0.611  0.221  0.367
Se  0.611  0.221  0.633

---

(7)
## Te2Mo3WSe2S4 (PBEsol)

Data for an optimized crystal structure of Te2Mo3WSe2S4.

Results
* mass density: 7.04 g/cm³
* total magnetic moment: 0.00 Bohr magnetons per cell
* calculated total energy: -7.449 eV per atom
* formation energy without anion corrections: -0.665 eV/atom
* SG: P3m1, No. 156
* calculated volume: 19.91 Å³ per atom

Cell: 3.253 3.253 26.072 Å, 90.00 90.00 120.00°
Positions (direct):
Te  0.000  0.000  0.179
Te  0.000  0.000  0.325
Mo  0.000  0.000  0.989
Mo  0.667  0.333  0.747
Mo  0.667  0.333  0.252
W  0.000  0.000  0.509
Se  0.667  0.333  0.053
Se  0.667  0.333  0.925
S  0.000  0.000  0.688
S  0.667  0.333  0.568
S  0.667  0.333  0.451
S  0.000  0.000  0.805

---

(8)
## Te4MoW3Se2S2 (PBEsol)

Data for an optimized crystal structure of Te4MoW3Se2S2.

Results
* mass density: 8.82 g/cm³
* total magnetic moment: 0.00 Bohr magnetons per cell
* calculated total energy: -7.387 eV per atom
* formation energy without anion corrections: -0.407 eV/atom
* SG: P3m1, No. 156
* calculated volume: 21.64 Å³ per atom

Cell: 3.339 3.339 26.908 Å, 90.00 90.00 120.00°
Positions (direct):
Te  0.333  0.667  0.676
Te  0.333  0.667  0.184
Te  0.333  0.667  0.815
Te  0.333  0.667  0.324
Mo  0.000  0.000  0.745
W  0.333  0.667  0.998
W  0.333  0.667  0.500
W  0.000  0.000  0.254
Se  0.000  0.000  0.060
Se  0.000  0.000  0.937
S  0.000  0.000  0.556
S  0.000  0.000  0.444

---

(9)
## MoW3Se2S6 (PBEsol)

Data for an optimized crystal structure of MoW3Se2S6.

Results
* mass density: 7.46 g/cm³
* total magnetic moment: 0.00 Bohr magnetons per cell
* calculated total energy: -8.095 eV per atom
* formation energy without anion corrections: -0.829 eV/atom
* SG: P3m1, No. 156
* calculated volume: 18.50 Å³ per atom

Cell: 3.173 3.173 25.454 Å, 90.00 90.00 120.00°
Positions (direct):
Mo  0.000  0.000  0.003
W  0.000  0.000  0.496
W  0.667  0.333  0.750
W  0.667  0.333  0.249
Se  0.000  0.000  0.683
Se  0.000  0.000  0.817
S  0.000  0.000  0.187
S  0.667  0.333  0.064
S  0.667  0.333  0.557
S  0.667  0.333  0.942
S  0.667  0.333  0.434
S  0.000  0.000  0.310

---

(10)
## MoWSe2S2 (PBEsol)

Data for an optimized crystal structure of MoWSe2S2.

Results
* mass density: 7.35 g/cm³
* total magnetic moment: 0.00 Bohr magnetons per cell
* calculated total energy: -7.772 eV per atom
* formation energy without anion corrections: -0.765 eV/atom
* SG: P-6m2, No. 187
* calculated volume: 18.91 Å³ per atom

Cell: 3.204 3.204 12.761 Å, 90.00 90.00 120.00°
Positions (direct):
S  0.333  0.667  0.329
S  0.333  0.667  0.569
Mo  0.000  0.000  0.449
Se  0.000  0.000  0.083
Se  0.000  0.000  0.816
W  0.333  0.667  0.949

---

(11)
## MoWSe2S2 (PBEsol)

Data for an optimized crystal structure of MoWSe2S2.

Results
* mass density: 7.33 g/cm³
* total magnetic moment: 0.00 Bohr magnetons per cell
* calculated total energy: -7.772 eV per atom
* formation energy without anion corrections: -0.765 eV/atom
* SG: P-3m1, No. 164
* calculated volume: 18.95 Å³ per atom

Cell: 3.204 3.204 25.585 Å, 90.00 90.00 120.00°
Positions (direct):
Mo  0.667  0.333  0.379
Mo  0.333  0.667  0.621
W  0.667  0.333  0.871
W  0.333  0.667  0.129
Se  0.667  0.333  0.062
Se  0.333  0.667  0.938
Se  0.333  0.667  0.804
Se  0.667  0.333  0.196
S  0.667  0.333  0.561
S  0.333  0.667  0.439
S  0.333  0.667  0.319
S  0.667  0.333  0.681

---

(12)
## MoW3Se4S4 (PBEsol)

Data for an optimized crystal structure of MoW3Se4S4.

Results
* mass density: 7.97 g/cm³
* total magnetic moment: 0.00 Bohr magnetons per cell
* calculated total energy: -7.925 eV per atom
* formation energy without anion corrections: -0.748 eV/atom
* SG: P-6m2, No. 187
* calculated volume: 18.94 Å³ per atom

Cell: 3.205 3.205 25.561 Å, 90.00 90.00 120.00°
Positions (direct):
Mo  0.000  0.000  0.999
W  0.000  0.000  0.499
W  0.667  0.333  0.751
W  0.667  0.333  0.248
Se  0.000  0.000  0.684
Se  0.000  0.000  0.182
Se  0.000  0.000  0.817
Se  0.000  0.000  0.315
S  0.667  0.333  0.059
S  0.667  0.333  0.560
S  0.667  0.333  0.939
S  0.667  0.333  0.439